Record 1
PBE Pm2FeCo3As4, optimized geometry; SG = P-4m2 (115); calculated formation energy = -704.6 meV per atom; total energy = -64.9 eV/cell
1.0
-2.242 -0.702 3.387
-3.338 -0.620 -2.338
2.097 -9.275 -0.534
Pm Fe Co As
2 1 3 4
Cartesian
-0.605 -2.636 1.562
-0.089 -7.300 -1.572
-1.742 -5.298 0.257
1.048 -4.637 -0.267
0.729 -8.537 1.222
-1.423 -1.399 -1.232
-2.790 -0.661 0.524
0.000 0.000 0.000
0.206 -6.220 1.356
-0.899 -3.715 -1.365

=====

Record 2
PBE FeCo2AsRh, optimized geometry; SG = P4/mmm (123); calculated formation energy = 909.3 meV per atom; total energy = -30.1 eV/cell
1.0
-2.860 -3.016 0.950
1.891 -2.667 -2.776
2.543 -1.432 3.108
Co As Rh Fe
2 1 1 1
Cartesian
1.271 -0.716 1.554
-1.430 -1.508 0.475
0.945 -1.333 -1.388
0.787 -3.558 0.640
0.000 0.000 0.000

=====

Record 3
PBE FeCoAsRu, optimized geometry; SG = F-43m (216); calculated formation energy = 35.9 meV per atom; total energy = -29.4 eV/cell
1.0
4.188 0.000 0.000
2.094 3.627 0.000
2.094 1.209 3.419
Ru As Co Fe
1 1 1 1
Cartesian
2.094 1.209 0.855
0.000 0.000 0.000
6.282 3.627 2.564
4.188 2.418 1.710

=====

Record 4
PBE FeCoAsSe2, optimized geometry; SG = P4/mmm (123); ΔE_f (raw) = 0.79 eV per atom; total energy = -23.3 eV/cell
1.0
-0.071 -2.777 3.870
3.681 -2.488 -1.718
2.752 2.700 1.988
As Co Fe Se
1 1 1 2
Cartesian
1.376 1.350 0.994
3.181 -1.282 2.070
0.000 0.000 0.000
1.841 -1.244 -0.859
-0.035 -1.389 1.935

=====

Record 5
PBE FeCoTcAs2, optimized geometry; SG = P4/mmm (123); calculated formation energy = 1048.2 meV per atom; total energy = -30.0 eV/cell
1.0
4.413 0.000 0.000
0.000 4.544 0.000
0.000 0.000 4.413
As Co Tc Fe
2 1 1 1
Cartesian
0.000 0.000 2.207
2.207 0.000 0.000
0.000 0.000 0.000
0.000 2.272 0.000
2.207 2.272 2.207

=====

Record 6
PBE Fe2CoTeAs, optimized geometry; SG = P4/mmm (123); ΔE_f (raw) = 1.23 eV per atom; total energy = -25.7 eV/cell
1.0
4.753 0.000 0.000
0.000 4.624 0.000
0.000 0.000 4.753
As Te Co Fe
1 1 1 2
Cartesian
2.376 2.312 2.376
0.000 0.000 0.000
0.000 2.312 0.000
0.000 0.000 2.376
2.376 0.000 0.000

=====

Record 7
PBE TlFeCoAs2, optimized geometry; SG = P4/mmm (123); calculated formation energy = 960.4 meV per atom; total energy = -22.4 eV/cell
1.0
-1.596 -1.383 3.882
-2.545 -3.747 -2.381
3.486 -2.673 0.481
Tl Co As Fe
1 1 2 1
Cartesian
-1.272 -1.874 -1.191
0.000 0.000 0.000
1.743 -1.337 0.241
-0.798 -0.691 1.941
-0.328 -3.902 0.991

=====

Record 8
PBE VFeCoAs, optimized geometry; SG = F-43m (216); calculated formation energy = -85.8 meV per atom; total energy = -29.7 eV/cell
1.0
-1.833 1.260 -3.418
-3.162 -2.088 -1.506
-3.754 1.585 0.164
As Co Fe V
1 1 1 1
Cartesian
0.000 0.000 0.000
-6.562 0.568 -3.570
-2.187 0.189 -1.190
-4.374 0.378 -2.380

=====

Number 1: total magnetization 0.029 μB per atom, calculated density 8.44 g/cm³. Number 2: total magnetization 1.106 μB per atom, calculated density 7.49 g/cm³. Number 3: total magnetization 1.248 μB per atom, calculated density 9.30 g/cm³. Number 4: total magnetization 0.476 μB per atom, calculated density 5.86 g/cm³. Number 5: total magnetization 0.825 μB per atom, calculated density 6.80 g/cm³. Number 6: total magnetization 1.205 μB per atom, calculated density 5.93 g/cm³. Number 7: total magnetization 0.016 μB per atom, calculated density 7.79 g/cm³. Number 8: total magnetization 0.756 μB per atom, calculated density 8.33 g/cm³.